Entry 1:
CoRe2Mo PBE relaxed; mass density = 15.40 g/cm3; formation energy = 0.1149 eV/atom; total DFT energy (no corrections) = -42.37 eV per formula unit; offset from the most stable computed form = 0.0674 eV/atom
1.0
4.460 -1.365 0.000
4.460 1.365 0.000
-0.810 0.000 4.671
Co Re Mo
1 2 1
Direct
0.000 0.000 0.000
0.259 0.259 0.763
0.741 0.741 0.237
0.500 0.500 0.500

=====

Entry 2:
LaTbNi2P2 PBE relaxed; mass density = 7.29 g/cm3; formation energy = -1.2007 eV/atom; total DFT energy (no corrections) = -39.14 eV per formula unit
1.0
3.958 0.000 0.000
-1.979 3.428 0.000
0.000 0.000 8.014
La Tb Ni P
1 1 2 2
Direct
0.000 0.000 0.000
0.000 0.000 0.500
0.333 0.667 0.742
0.667 0.333 0.258
0.333 0.667 0.265
0.667 0.333 0.735

=====

Entry 3:
PAu2N PBE relaxed; formation energy without anion corrections = 951 meV/atom; mass density = 10.53 g/cm3; total DFT energy (no corrections) = -16.49 eV per formula unit; offset from the most stable computed form = 0.0000 eV/atom
1.0
-2.921 2.921 4.057
2.921 -2.921 4.057
2.921 2.921 -4.057
P Au N
2 4 2
Direct
0.000 0.000 0.000
0.750 0.250 0.500
0.159 0.625 0.034
0.375 0.409 0.534
0.591 0.125 0.966
0.875 0.841 0.466
0.250 0.750 0.500
0.500 0.500 0.000

=====

Entry 4:
MnCdIr4 PBE relaxed; mass density = 15.45 g/cm3; formation energy = 0.2468 eV/atom; total DFT energy (no corrections) = -44.05 eV per formula unit
1.0
0.000 3.692 3.692
3.692 0.000 3.692
3.692 3.692 0.000
Mn Cd Ir
1 1 4
Direct
0.000 0.000 0.000
0.750 0.750 0.750
0.375 0.375 0.375
0.375 0.375 0.875
0.375 0.875 0.375
0.875 0.375 0.375

=====

Entry 5:
Y2HfSe PBE relaxed; formation energy without anion corrections = -208 meV/atom; mass density = 6.75 g/cm3; total DFT energy (no corrections) = -27.20 eV per formula unit
1.0
-4.274 4.274 2.933
4.274 -4.274 2.933
4.274 4.274 -2.933
Y Hf Se
4 2 2
Direct
0.065 0.625 0.940
0.375 0.315 0.440
0.685 0.125 0.060
0.875 0.935 0.560
0.250 0.750 0.500
0.500 0.500 0.000
0.000 0.000 0.000
0.750 0.250 0.500

=====

Entry 6:
AcTb4Pr PBE relaxed; mass density = 8.00 g/cm3; formation energy = 0.0345 eV/atom; total DFT energy (no corrections) = -27.20 eV per formula unit; offset from the most stable computed form = 0.0000 eV/atom
1.0
6.348 -3.696 0.000
6.348 3.696 0.000
-2.088 0.000 8.880
Ac Tb Pr
2 8 2
Direct
0.138 0.138 0.333
0.862 0.862 0.667
0.141 0.635 0.325
0.251 0.251 0.993
0.254 0.746 0.000
0.365 0.859 0.675
0.635 0.141 0.325
0.746 0.254 0.000
0.749 0.749 0.007
0.859 0.365 0.675
0.365 0.365 0.671
0.635 0.635 0.329